# KCoCO4 GGA+U relaxed
# Theoretical density, kg/m³: 3161
# DFT total energy, eV per atom: -6.177
data_KCoCO4
_cell_length_a 6.739
_cell_length_b 9.466
_cell_length_c 5.732
_cell_angle_alpha 90.00
_cell_angle_beta 90.00
_cell_angle_gamma 90.00
_symmetry_space_group_name_H-M 'C m c m'
_symmetry_Int_Tables_number 63
_symmetry_space_group_name_Hall '-C 2c 2'
loop_
_atom_site_label
_atom_site_type_symbol
_atom_site_fract_x
_atom_site_fract_y
_atom_site_fract_z
K1 K 0.000 0.000 0.000
Co1 Co 0.000 0.371 0.250
C1 C 0.000 0.373 0.750
O1 O 0.000 0.288 0.549
O2 O 0.166 0.465 0.750